This record from OQMD via LeMat-Bulk describes crystalline TlCdTe at its relaxed geometry. The functional is PBE.

Summary:
- Raw total energy: -2.292 eV/atom

Cell: 6.7854 4.1963 13.0086 Å, 90.00 90.04 90.00°
With the nearest neighbours (Å) after each atom.
Space group P2_1/m (No. 11)
Unique sites:
Tl (0.2272, 0.2500, 0.4279)  4 Cd 3.37-3.74, 4 Te 3.42-3.50
Tl (0.2718, 0.7500, 0.9281)  4 Cd 3.37-3.75, 4 Te 3.42-3.50
Cd (0.0484, 0.2500, 0.7623)  4 Te 3.07-3.13, 2 Tl 3.37, 2 Cd 3.40-3.41
Cd (0.4511, 0.7500, 0.2625)  4 Te 3.07-3.12, 2 Tl 3.37, 2 Cd 3.40-3.41
Te (0.2300, 0.2500, 0.1345)  4 Cd 3.07-3.13, 2 Tl 3.42
Te (0.2707, 0.7500, 0.6347)  4 Cd 3.07-3.12, 2 Tl 3.42

This record from OQMD via LeMat-Bulk describes crystalline HoErZn2Pb2 at its relaxed geometry. The functional is PBE.

Summary:
- Raw total energy: -3.555 eV/atom

Cell: 4.5804 4.5804 15.9120 Å, 90.00 90.00 120.00°
With the nearest neighbours (Å) after each atom.
Space group P6_3/mmc (No. 194)
Unique sites:
Ho (0.0000, 0.0000, 0.2500)  6 Zn 2.97
Er (0.0000, 0.0000, 0.0000)  6 Pb 3.16
Zn (0.3333, 0.6667, 0.1657)  1 Zn 2.68, 3 Pb 2.79, 3 Ho 2.97
Pb (0.3333, 0.6667, 0.6090)  3 Zn 2.79

This record from OQMD via LeMat-Bulk describes crystalline InAu15 at its relaxed geometry. The functional is PBE.

Summary:
- Raw total energy: -3.194 eV/atom

Cell: 8.2458 2.9064 36.5617 Å, 90.00 90.04 90.00°
With the nearest neighbours (Å) after each atom.
Space group P2_1/m (No. 11)
Unique sites:
In (0.1235, 0.2500, 0.3139)  2 In 2.91, 5 Au 2.99-3.24
Au (0.1170, 0.2500, 0.7326)  9 Au 2.84-3.08, 2 In 2.99
Au (0.1213, 0.2500, 0.8169)  12 Au 2.90-3.08
Au (0.1252, 0.2500, 0.0610)  12 Au 2.91-2.97
Au (0.1254, 0.2500, 0.1423)  12 Au 2.91-3.03
Au (0.1246, 0.2500, 0.8986)  12 Au 2.91-2.99
Au (0.1253, 0.2500, 0.9798)  12 Au 2.91-2.97
Au (0.1256, 0.2500, 0.2252)  11 Au 2.91-3.03, 1 In 3.24
Au (0.3662, 0.7500, 0.2680)  9 Au 2.83-3.10, 2 In 2.99
Au (0.3721, 0.7500, 0.1833)  12 Au 2.89-3.10
Au (0.3754, 0.7500, 0.0203)  12 Au 2.91-2.97
Au (0.3752, 0.7500, 0.1016)  12 Au 2.91-2.99
Au (0.3748, 0.7500, 0.7001)  7 Au 2.83-2.91
Au (0.3748, 0.7500, 0.7788)  12 Au 2.88-3.10
Au (0.3746, 0.7500, 0.8582)  12 Au 2.90-2.96
Au (0.3748, 0.7500, 0.9391)  12 Au 2.91-2.97

This record from OQMD via LeMat-Bulk describes crystalline InAgOs at its relaxed geometry. The functional is PBE.

Summary:
- Raw total energy: -4.685 eV/atom

Cell: 6.3245 6.3245 6.3245 Å, 90.00 90.00 90.00°
With the nearest neighbours (Å) after each atom.
Space group F-43m (No. 216)
Unique sites:
In (0.0000, 0.0000, 0.0000)  4 Os 2.74
Ag (0.0000, 0.0000, 0.5000)  4 Os 2.74
Os (0.2500, 0.2500, 0.7500)  4 In 2.74, 4 Ag 2.74

This record from OQMD via LeMat-Bulk describes crystalline MgBeHg at its relaxed geometry. The functional is PBE.

Summary:
- Raw total energy: -1.674 eV/atom

Cell: 6.0220 6.0220 6.0220 Å, 90.00 90.00 90.00°
With the nearest neighbours (Å) after each atom.
Space group F-43m (No. 216)
Unique sites:
Mg (0.0000, 0.0000, 0.0000)  4 Be 2.61
Be (0.2500, 0.2500, 0.7500)  4 Hg 2.61, 4 Mg 2.61
Hg (0.0000, 0.0000, 0.5000)  4 Be 2.61

This record from OQMD via LeMat-Bulk describes crystalline Y3In2SnIr2Pd at its relaxed geometry. The functional is PBE.

Summary:
- Raw total energy: -6.536 eV/atom

Cell: 3.9307 13.1204 7.5701 Å, 90.00 90.00 90.00°
With the nearest neighbours (Å) after each atom.
Space group Amm2 (No. 38)
Unique sites:
Y (0.0000, 0.0000, 0.0000)  4 Ir 3.00, 1 Pd 3.16, 2 Sn 3.17, 4 In 3.36
Y (0.0000, 0.2062, 0.3809)  4 Ir 3.00-3.04, 1 Pd 3.11, 2 In 3.17
In (0.5000, 0.1296, 0.7177)  2 Pd 2.79, 2 Ir 2.86
Sn (0.5000, 0.0000, 0.3283)  2 Pd 2.75, 2 Ir 2.82
Ir (0.5000, 0.1651, 0.0905)  1 Sn 2.82, 2 In 2.86, 6 Y 3.00-3.04
Pd (0.0000, 0.0000, 0.5827)  2 Sn 2.75, 4 In 2.79

This record from OQMD via LeMat-Bulk describes crystalline LaZrAl at its relaxed geometry. The functional is PBE.

Summary:
- Raw total energy: -4.885 eV/atom

Cell: 7.0953 7.0953 7.0953 Å, 90.00 90.00 90.00°
With the nearest neighbours (Å) after each atom.
Space group F-43m (No. 216)
Unique sites:
La (0.0000, 0.0000, 0.0000)  4 Zr 3.07, 4 Al 3.07
Zr (0.2500, 0.2500, 0.2500)  4 La 3.07
Al (0.2500, 0.2500, 0.7500)  4 La 3.07

This record from OQMD via LeMat-Bulk describes crystalline ZnRePd2 at its relaxed geometry. The functional is PBE.

Summary:
- Raw total energy: -5.766 eV/atom
- E_form: 0.24 eV/atom

Cell: 6.1818 6.1818 6.1818 Å, 90.00 90.00 90.00°
With the nearest neighbours (Å) after each atom.
Space group F-43m (No. 216)
Unique sites:
Zn (0.0000, 0.0000, 0.0000)  4 Re 2.68, 4 Pd 2.68
Re (0.2500, 0.2500, 0.2500)  4 Pd 2.68, 4 Zn 2.68
Pd (0.0000, 0.0000, 0.5000)  4 Re 2.68, 4 Pd 2.68
Pd (0.2500, 0.2500, 0.7500)  4 Pd 2.68, 4 Zn 2.68

This record from OQMD via LeMat-Bulk describes crystalline TmMg2 at its relaxed geometry. The functional is PBE.

Summary:
- Raw total energy: -0.829 eV/atom

Cell: 15.2811 15.2811 15.2811 Å, 90.00 90.00 90.00°
With the nearest neighbours (Å) after each atom.
Space group Fd-3m (No. 227, origin choice 2)
Unique sites:
Tm (0.1250, 0.1250, 0.1250)  4 Mg 3.31
Mg (0.0000, 0.0000, 0.0000)  2 Tm 3.31

This record from OQMD via LeMat-Bulk describes crystalline HfGa2Ag at its relaxed geometry. The functional is PBE.

Summary:
- Raw total energy: -4.679 eV/atom

Cell: 6.6422 6.6422 6.6422 Å, 90.00 90.00 90.00°
With the nearest neighbours (Å) after each atom.
Space group F-43m (No. 216)
Unique sites:
Hf (0.0000, 0.0000, 0.0000)  4 Ag 2.88, 4 Ga 2.88
Ga (0.0000, 0.0000, 0.5000)  4 Ga 2.88, 4 Ag 2.88
Ga (0.2500, 0.2500, 0.2500)  4 Hf 2.88, 4 Ga 2.88
Ag (0.2500, 0.2500, 0.7500)  4 Hf 2.88, 4 Ga 2.88

This record from OQMD via LeMat-Bulk describes crystalline ErLu2 at its relaxed geometry. The functional is PBE.

Summary:
- Raw total energy: -3.801 eV/atom
- E_form: 0.74 eV/atom

Cell: 7.4942 7.4942 7.4942 Å, 90.00 90.00 90.00°
With the nearest neighbours (Å) after each atom.
Space group Fm-3m (No. 225)
Unique sites:
Er (0.0000, 0.0000, 0.0000)  8 Lu 3.25
Lu (0.2500, 0.2500, 0.2500)  4 Er 3.25

This record from OQMD via LeMat-Bulk describes crystalline Mg2Np at its relaxed geometry. The functional is PBE.

Summary:
- Raw total energy: -3.844 eV/atom

Cell: 6.2232 6.2232 5.9057 Å, 90.00 90.00 90.00°
With the nearest neighbours (Å) after each atom.
Space group P4_2/mnm (No. 136)
Unique sites:
Mg (0.1578, 0.1578, 0.0000)  1 Mg 2.78, 1 Np 3.01
Np (0.0000, 0.0000, 0.5000)  6 Mg 3.01-3.26